Record 1
# TlNiGe2Pt | Alexandria via LeMat-Bulk | meta-GGA SCAN | PBEsol geometry
# energy of formation from the pure elements	0.227	eV per atom
# density	10.5	Mg/m³
# total moment	0.00	μB per atom
data_TlNiGe2Pt
_chemical_formula_sum 'Tl1 Ni1 Ge2 Pt1'
_cell_length_a 4.361
_cell_length_b 4.361
_cell_length_c 5.008
_cell_angle_alpha 90.00
_cell_angle_beta 90.00
_cell_angle_gamma 90.00
_symmetry_space_group_name_H-M 'P 4/m m m'
_symmetry_Int_Tables_number 123
_symmetry_space_group_name_Hall '-P 4 2'
loop_
_atom_site_label
_atom_site_type_symbol
_atom_site_fract_x
_atom_site_fract_y
_atom_site_fract_z
_atom_site_occupancy
Tl1 Tl 0.000 0.000 0.000 1
Ni1 Ni 0.500 0.500 0.500 1
Ge1 Ge 0.000 0.500 0.500 1
Pt1 Pt 0.500 0.500 0.000 1

***

Record 2
# LaAl8Cr4 | Alexandria via LeMat-Bulk | meta-GGA SCAN | PBEsol geometry
# energy of formation from the pure elements	-0.219	eV per atom
# density	4.6	Mg/m³
# total moment	0.38	μB per atom
data_LaAl8Cr4
_chemical_formula_sum 'La2 Al16 Cr8'
_cell_length_a 8.984
_cell_length_b 8.984
_cell_length_c 4.982
_cell_angle_alpha 90.00
_cell_angle_beta 90.00
_cell_angle_gamma 90.00
_symmetry_space_group_name_H-M 'I 4/m m m'
_symmetry_Int_Tables_number 139
_symmetry_space_group_name_Hall '-I 4 2'
loop_
_atom_site_label
_atom_site_type_symbol
_atom_site_fract_x
_atom_site_fract_y
_atom_site_fract_z
_atom_site_occupancy
La1 La 0.000 0.000 0.000 1
Al1 Al 0.000 0.228 0.500 1
Al2 Al 0.000 0.342 0.000 1
Cr1 Cr 0.250 0.250 0.250 1

***

Record 3
# ScPb3S | Alexandria via LeMat-Bulk | meta-GGA SCAN | PBEsol geometry
# E_form (uncorrected)	0.271	eV per atom
# density	7.6	Mg/m³
# total moment	0.00	μB per atom
data_ScPb3S
_chemical_formula_sum 'Sc1 Pb3 S1'
_cell_length_a 5.340
_cell_length_b 5.340
_cell_length_c 5.340
_cell_angle_alpha 90.00
_cell_angle_beta 90.00
_cell_angle_gamma 90.00
_symmetry_space_group_name_H-M 'P m -3 m'
_symmetry_Int_Tables_number 221
_symmetry_space_group_name_Hall '-P 4 2 3'
loop_
_atom_site_label
_atom_site_type_symbol
_atom_site_fract_x
_atom_site_fract_y
_atom_site_fract_z
_atom_site_occupancy
Sc1 Sc 0.000 0.000 0.000 1
Pb1 Pb 0.000 0.500 0.500 1
S1 S 0.500 0.500 0.500 1

***

Record 4
# BeTeAsSe2 | Alexandria via LeMat-Bulk | meta-GGA SCAN | PBEsol geometry
# E_form (uncorrected)	1.201	eV per atom
# density	4.3	Mg/m³
# total moment	0.00	μB per atom
data_BeTeAsSe2
_chemical_formula_sum 'Be1 Te1 As1 Se2'
_cell_length_a 5.196
_cell_length_b 5.196
_cell_length_c 5.296
_cell_angle_alpha 90.00
_cell_angle_beta 90.00
_cell_angle_gamma 90.00
_symmetry_space_group_name_H-M 'P 4/m m m'
_symmetry_Int_Tables_number 123
_symmetry_space_group_name_Hall '-P 4 2'
loop_
_atom_site_label
_atom_site_type_symbol
_atom_site_fract_x
_atom_site_fract_y
_atom_site_fract_z
_atom_site_occupancy
Be1 Be 0.000 0.000 0.000 1
Te1 Te 0.500 0.500 0.500 1
As1 As 0.500 0.500 0.000 1
Se1 Se 0.000 0.500 0.500 1

***

Record 5
# ZrFeP3 | Alexandria via LeMat-Bulk | meta-GGA SCAN | PBEsol geometry
# energy of formation from the pure elements	0.798	eV per atom
# density	3.4	Mg/m³
# total moment	0.64	μB per atom
data_ZrFeP3
_chemical_formula_sum 'Zr1 Fe1 P3'
_cell_length_a 4.896
_cell_length_b 4.896
_cell_length_c 4.896
_cell_angle_alpha 90.00
_cell_angle_beta 90.00
_cell_angle_gamma 90.00
_symmetry_space_group_name_H-M 'P m -3 m'
_symmetry_Int_Tables_number 221
_symmetry_space_group_name_Hall '-P 4 2 3'
loop_
_atom_site_label
_atom_site_type_symbol
_atom_site_fract_x
_atom_site_fract_y
_atom_site_fract_z
_atom_site_occupancy
Zr1 Zr 0.000 0.000 0.000 1
Fe1 Fe 0.500 0.500 0.500 1
P1 P 0.000 0.000 0.500 1

***

Record 6
# Li5Mn4 | Alexandria via LeMat-Bulk | meta-GGA SCAN | PBEsol geometry
# energy of formation from the pure elements	0.133	eV per atom
# density	3.1	Mg/m³
# total moment	1.70	μB per atom
data_Li5Mn4
_chemical_formula_sum 'Li10 Mn8'
_cell_length_a 8.452
_cell_length_b 8.452
_cell_length_c 3.765
_cell_angle_alpha 90.00
_cell_angle_beta 90.00
_cell_angle_gamma 90.00
_symmetry_space_group_name_H-M 'I 4/m m m'
_symmetry_Int_Tables_number 139
_symmetry_space_group_name_Hall '-I 4 2'
loop_
_atom_site_label
_atom_site_type_symbol
_atom_site_fract_x
_atom_site_fract_y
_atom_site_fract_z
_atom_site_occupancy
Li1 Li 0.000 0.000 0.000 1
Li2 Li 0.172 0.172 0.500 1
Mn1 Mn 0.000 0.351 0.000 1

***

Record 7
# BaOsW | Alexandria via LeMat-Bulk | meta-GGA SCAN | PBEsol geometry
# energy of formation from the pure elements	0.700	eV per atom
# density	12.6	Mg/m³
# total moment	0.00	μB per atom
data_BaOsW
_chemical_formula_sum 'Ba2 Os2 W2'
_cell_length_a 3.225
_cell_length_b 3.225
_cell_length_c 12.920
_cell_angle_alpha 90.00
_cell_angle_beta 90.00
_cell_angle_gamma 90.00
_symmetry_space_group_name_H-M 'I 4 m m'
_symmetry_Int_Tables_number 107
_symmetry_space_group_name_Hall 'I 4 -2'
loop_
_atom_site_label
_atom_site_type_symbol
_atom_site_fract_x
_atom_site_fract_y
_atom_site_fract_z
_atom_site_occupancy
Ba1 Ba 0.000 0.000 0.000 1
Os1 Os 0.000 0.000 0.703 1
W1 W 0.000 0.000 0.289 1

***

Record 8
# Nb2Co2O | Alexandria via LeMat-Bulk | meta-GGA SCAN | PBEsol geometry
# E_form (uncorrected)	0.681	eV per atom
# density	7.1	Mg/m³
# total moment	0.00	μB per atom
data_Nb2Co2O
_chemical_formula_sum 'Nb4 Co4 O2'
_cell_length_a 4.235
_cell_length_b 4.235
_cell_length_c 8.358
_cell_angle_alpha 90.00
_cell_angle_beta 90.00
_cell_angle_gamma 90.00
_symmetry_space_group_name_H-M 'I 4/m m m'
_symmetry_Int_Tables_number 139
_symmetry_space_group_name_Hall '-I 4 2'
loop_
_atom_site_label
_atom_site_type_symbol
_atom_site_fract_x
_atom_site_fract_y
_atom_site_fract_z
_atom_site_occupancy
Nb1 Nb 0.000 0.500 0.250 1
Co1 Co 0.000 0.000 0.122 1
O1 O 0.000 0.000 0.500 1

***

Record 9
# Zr3CrRu | Alexandria via LeMat-Bulk | meta-GGA SCAN | PBEsol geometry
# energy of formation from the pure elements	0.740	eV per atom
# density	7.1	Mg/m³
# total moment	0.00	μB per atom
data_Zr3CrRu
_chemical_formula_sum 'Zr3 Cr1 Ru1'
_cell_length_a 4.636
_cell_length_b 4.636
_cell_length_c 4.636
_cell_angle_alpha 90.00
_cell_angle_beta 90.00
_cell_angle_gamma 90.00
_symmetry_space_group_name_H-M 'P m -3 m'
_symmetry_Int_Tables_number 221
_symmetry_space_group_name_Hall '-P 4 2 3'
loop_
_atom_site_label
_atom_site_type_symbol
_atom_site_fract_x
_atom_site_fract_y
_atom_site_fract_z
_atom_site_occupancy
Zr1 Zr 0.000 0.000 0.500 1
Cr1 Cr 0.000 0.000 0.000 1
Ru1 Ru 0.500 0.500 0.500 1

***

Record 10
# LaRe3C | Alexandria via LeMat-Bulk | meta-GGA SCAN | PBEsol geometry
# energy of formation from the pure elements	0.593	eV per atom
# density	15.3	Mg/m³
# total moment	0.37	μB per atom
# distance to the lowest polymorph of the same formula	0.0000	eV per atom
data_LaRe3C
_chemical_formula_sum 'La1 Re3 C1'
_cell_length_a 4.251
_cell_length_b 4.251
_cell_length_c 4.251
_cell_angle_alpha 90.00
_cell_angle_beta 90.00
_cell_angle_gamma 90.00
_symmetry_space_group_name_H-M 'P m -3 m'
_symmetry_Int_Tables_number 221
_symmetry_space_group_name_Hall '-P 4 2 3'
loop_
_atom_site_label
_atom_site_type_symbol
_atom_site_fract_x
_atom_site_fract_y
_atom_site_fract_z
_atom_site_occupancy
La1 La 0.000 0.000 0.000 1
Re1 Re 0.000 0.500 0.500 1
C1 C 0.500 0.500 0.500 1

***

Record 11
# TlWSe2 | Alexandria via LeMat-Bulk | meta-GGA SCAN | PBEsol geometry
# E_form (uncorrected)	0.530	eV per atom
# density	11.2	Mg/m³
# total moment	0.00	μB per atom
# distance to the lowest polymorph of the same formula	0.0719	eV per atom
data_TlWSe2
_chemical_formula_sum 'Tl1 W1 Se2'
_cell_length_a 3.413
_cell_length_b 3.413
_cell_length_c 6.962
_cell_angle_alpha 90.00
_cell_angle_beta 90.00
_cell_angle_gamma 90.00
_symmetry_space_group_name_H-M 'P 4 m m'
_symmetry_Int_Tables_number 99
_symmetry_space_group_name_Hall 'P 4 -2'
loop_
_atom_site_label
_atom_site_type_symbol
_atom_site_fract_x
_atom_site_fract_y
_atom_site_fract_z
_atom_site_occupancy
Tl1 Tl 0.000 0.000 0.000 1
W1 W 0.500 0.500 0.314 1
Se1 Se 0.000 0.000 0.452 1
Se2 Se 0.500 0.500 0.686 1

***

Record 12
# SrMnSb2I | Alexandria via LeMat-Bulk | meta-GGA SCAN | PBEsol geometry
# E_form (uncorrected)	-0.424	eV per atom
# density	5.7	Mg/m³
# total moment	0.74	μB per atom
data_SrMnSb2I
_chemical_formula_sum 'Sr1 Mn1 Sb2 I1'
_cell_length_a 5.032
_cell_length_b 5.032
_cell_length_c 5.873
_cell_angle_alpha 90.00
_cell_angle_beta 90.00
_cell_angle_gamma 90.00
_symmetry_space_group_name_H-M 'P 4/m m m'
_symmetry_Int_Tables_number 123
_symmetry_space_group_name_Hall '-P 4 2'
loop_
_atom_site_label
_atom_site_type_symbol
_atom_site_fract_x
_atom_site_fract_y
_atom_site_fract_z
_atom_site_occupancy
Sr1 Sr 0.000 0.000 0.000 1
Mn1 Mn 0.500 0.500 0.500 1
Sb1 Sb 0.000 0.500 0.500 1
I1 I 0.500 0.500 0.000 1

***

Record 13
# HPbSN2 | Alexandria via LeMat-Bulk | meta-GGA SCAN | PBEsol geometry
# density	4.4	Mg/m³
# total moment	0.79	μB per atom
# raw total energy	-19.29	eV per atom
data_HPbSN2
_chemical_formula_sum 'H1 Pb1 S1 N2'
_cell_length_a 4.385
_cell_length_b 4.385
_cell_length_c 5.305
_cell_angle_alpha 90.00
_cell_angle_beta 90.00
_cell_angle_gamma 90.00
_symmetry_space_group_name_H-M 'P 4/m m m'
_symmetry_Int_Tables_number 123
_symmetry_space_group_name_Hall '-P 4 2'
loop_
_atom_site_label
_atom_site_type_symbol
_atom_site_fract_x
_atom_site_fract_y
_atom_site_fract_z
_atom_site_occupancy
H1 H 0.000 0.000 0.000 1
Pb1 Pb 0.500 0.500 0.500 1
S1 S 0.500 0.500 0.000 1
N1 N 0.000 0.500 0.500 1